Entry 1:
Pr6Sm2Hg | PBE-GGA | optimized geometry

Geometry as CIF:
```
data_Pr6Sm2Hg
_space_group_name_H-M_alt 'P 1'
_space_group_IT_number 1
_space_group_name_Hall 'P 1'
_cell_length_a 3.770
_cell_length_b 9.748
_cell_length_c 9.750
_cell_angle_alpha 120.00
_cell_angle_beta 90.00
_cell_angle_gamma 90.00
loop_
_atom_site_label
_atom_site_fract_x
_atom_site_fract_y
_atom_site_fract_z
Pr1 0.500 0.621 0.000
Pr2 0.500 0.378 0.378
Pr3 0.500 0.000 0.622
Pr4 0.000 0.271 0.000
Pr5 0.000 0.729 0.729
Pr6 0.000 0.000 0.271
Sm1 0.000 0.333 0.667
Sm2 0.000 0.667 0.333
Hg1 0.500 0.000 0.000
```

M_tot (Bohr magnetons per cell): 0.000
Formation energy (eV/atom): -0.09
Symmetry: No. 189
Energy relative to the lowest polymorph listed for this composition (meV/atom): 0
Calculated density (g/cm³): 7.21



Entry 2:
Pr6SmHg2 | PBE-GGA | optimized geometry

Geometry as CIF:
```
data_Pr6SmHg2
_space_group_name_H-M_alt 'P 1'
_space_group_IT_number 1
_space_group_name_Hall 'P 1'
_cell_length_a 6.299
_cell_length_b 9.853
_cell_length_c 9.853
_cell_angle_alpha 73.15
_cell_angle_beta 85.48
_cell_angle_gamma 85.48
loop_
_atom_site_label
_atom_site_fract_x
_atom_site_fract_y
_atom_site_fract_z
Pr1 0.494 0.680 0.437
Pr2 0.006 0.563 0.320
Pr3 0.506 0.320 0.563
Pr4 0.994 0.437 0.680
Pr5 0.668 0.102 0.350
Pr6 0.832 0.650 0.898
Pr7 0.332 0.898 0.650
Pr8 0.168 0.350 0.102
Pr9 0.311 0.730 0.035
Pr10 0.189 0.965 0.270
Pr11 0.689 0.270 0.965
Pr12 0.811 0.035 0.730
Sm1 0.250 0.103 0.897
Sm2 0.750 0.897 0.103
Hg1 0.404 0.540 0.791
Hg2 0.096 0.209 0.460
Hg3 0.596 0.460 0.209
Hg4 0.904 0.791 0.540
```

M_tot (Bohr magnetons per cell): 0.000
Formation energy (eV/atom): -0.14
Symmetry: No. 15
Energy relative to the lowest polymorph listed for this composition (meV/atom): 68
Calculated density (g/cm³): 7.97



Entry 3:
Pr8SmHg6 | PBE-GGA | optimized geometry

Geometry as CIF:
```
data_Pr8SmHg6
_space_group_name_H-M_alt 'P 1'
_space_group_IT_number 1
_space_group_name_Hall 'P 1'
_cell_length_a 9.245
_cell_length_b 9.245
_cell_length_c 8.459
_cell_angle_alpha 56.87
_cell_angle_beta 56.87
_cell_angle_gamma 60.00
loop_
_atom_site_label
_atom_site_fract_x
_atom_site_fract_y
_atom_site_fract_z
Pr1 0.547 0.221 0.346
Pr2 0.779 0.114 0.654
Pr3 0.114 0.453 0.654
Pr4 0.666 0.666 0.003
Pr5 0.334 0.334 0.997
Pr6 0.886 0.547 0.346
Pr7 0.221 0.886 0.346
Pr8 0.453 0.779 0.654
Sm1 0.000 0.000 0.000
Hg1 0.381 0.053 0.840
Hg2 0.947 0.275 0.160
Hg3 0.275 0.619 0.160
Hg4 0.725 0.381 0.840
Hg5 0.053 0.725 0.840
Hg6 0.619 0.947 0.160
```

M_tot (Bohr magnetons per cell): 2.810
Formation energy (eV/atom): -0.25
Symmetry: No. 148
Calculated density (g/cm³): 8.48



Entry 4:
Pr3SmHg5 | PBE-GGA | optimized geometry

Geometry as CIF:
```
data_Pr3SmHg5
_space_group_name_H-M_alt 'P 1'
_space_group_IT_number 1
_space_group_name_Hall 'P 1'
_cell_length_a 6.715
_cell_length_b 9.385
_cell_length_c 9.385
_cell_angle_alpha 120.00
_cell_angle_beta 90.00
_cell_angle_gamma 90.00
loop_
_atom_site_label
_atom_site_fract_x
_atom_site_fract_y
_atom_site_fract_z
Pr1 0.750 0.372 0.372
Pr2 0.750 0.000 0.628
Pr3 0.750 0.628 0.000
Pr4 0.250 0.628 0.628
Pr5 0.250 0.000 0.372
Pr6 0.250 0.372 0.000
Sm1 0.000 0.000 0.000
Sm2 0.500 0.000 0.000
Hg1 0.000 0.667 0.333
Hg2 0.500 0.333 0.667
Hg3 0.000 0.333 0.667
Hg4 0.500 0.667 0.333
Hg5 0.750 0.704 0.704
Hg6 0.750 0.000 0.296
Hg7 0.750 0.296 0.000
Hg8 0.250 0.296 0.296
Hg9 0.250 0.000 0.704
Hg10 0.250 0.704 0.000
```

M_tot (Bohr magnetons per cell): 0.000
Formation energy (eV/atom): -0.42
Symmetry: No. 193
Calculated density (g/cm³): 10.22



Entry 5:
PrSm3Hg | PBE-GGA | optimized geometry

Geometry as CIF:
```
data_PrSm3Hg
_space_group_name_H-M_alt 'P 1'
_space_group_IT_number 1
_space_group_name_Hall 'P 1'
_cell_length_a 3.719
_cell_length_b 5.686
_cell_length_c 15.165
_cell_angle_alpha 89.69
_cell_angle_beta 97.04
_cell_angle_gamma 90.00
loop_
_atom_site_label
_atom_site_fract_x
_atom_site_fract_y
_atom_site_fract_z
Pr1 0.733 0.751 0.467
Pr2 0.267 0.249 0.533
Sm1 0.048 0.268 0.096
Sm2 0.952 0.732 0.904
Sm3 0.342 0.748 0.685
Sm4 0.658 0.252 0.315
Sm5 0.127 0.756 0.253
Sm6 0.873 0.244 0.747
Hg1 0.541 0.778 0.081
Hg2 0.459 0.222 0.919
```

M_tot (Bohr magnetons per cell): 0.000
Formation energy (eV/atom): -0.17
Symmetry: No. 12
Calculated density (g/cm³): 8.27



Entry 6:
PrSmHg3 | PBE-GGA | optimized geometry

Geometry as CIF:
```
data_PrSmHg3
_space_group_name_H-M_alt 'P 1'
_space_group_IT_number 1
_space_group_name_Hall 'P 1'
_cell_length_a 6.539
_cell_length_b 7.362
_cell_length_c 7.362
_cell_angle_alpha 120.00
_cell_angle_beta 90.00
_cell_angle_gamma 90.00
loop_
_atom_site_label
_atom_site_fract_x
_atom_site_fract_y
_atom_site_fract_z
Pr1 0.000 0.000 0.000
Pr2 0.500 0.000 0.000
Sm1 0.250 0.334 0.666
Sm2 0.750 0.666 0.334
Hg1 0.250 0.796 0.204
Hg2 0.750 0.204 0.796
Hg3 0.250 0.796 0.593
Hg4 0.750 0.204 0.407
Hg5 0.250 0.407 0.204
Hg6 0.750 0.593 0.796
```

M_tot (Bohr magnetons per cell): 0.000
Formation energy (eV/atom): -0.14
Symmetry: No. 194
Energy relative to the lowest polymorph listed for this composition (meV/atom): 285
Calculated density (g/cm³): 9.66